Entry 1:
VASP calculation (GGA-PBE) on crystalline Ac7SnRu2 at its relaxed geometry.

Calculated values
* E_form: -0.1279 eV/atom
* magnetic moment: 0.000 μB per cell
* crystal system: orthorhombic

Lattice parameters (Å, degrees): 8.8709 8.8709 5.4428 90.00 90.00 110.77
Last column: nearest neighbours and their distance in Å.
Sites, in units of the cell vectors:
1 Ac 0.0000 0.0000 0.0000  2 Ru 2.88
2 Ac 0.1884 0.4485 0.0000  2 Ru 3.11-3.36
3 Ac 0.2087 0.7913 0.5000  2 Ru 2.73
4 Ac 0.4485 0.1884 0.0000  2 Ru 3.11-3.36
5 Ac 0.5515 0.8116 0.0000  2 Ru 3.11-3.36
6 Ac 0.7913 0.2087 0.5000  2 Ru 2.73
7 Ac 0.8116 0.5515 0.0000  2 Ru 3.11-3.36
8 Sn 0.5000 0.5000 0.5000  8 Ac 3.79
9 Ru 0.1976 0.8024 0.0000  3 Ac 2.73-2.88
10 Ru 0.8024 0.1976 0.0000  3 Ac 2.73-2.88


Entry 2:
VASP calculation (GGA-PBE) on crystalline Ac5SnRu2 at its relaxed geometry.

Calculated values
* E_form: -0.3411 eV/atom
* magnetic moment: 0.000 μB per cell
* crystal system: tetragonal

Lattice parameters (Å, degrees): 9.4641 9.4641 9.4641 127.55 127.55 77.36
Last column: nearest neighbours and their distance in Å.
Sites, in units of the cell vectors:
1 Ac 0.0000 0.0000 0.0000  4 Ru 3.22
2 Ac 0.0285 0.5285 0.8208  3 Ru 3.05-3.19
3 Ac 0.2077 0.0285 0.5000  3 Ru 3.05-3.19
4 Ac 0.2923 0.7923 0.8208  3 Ru 3.05-3.19
5 Ac 0.4715 0.2923 0.5000  3 Ru 3.05-3.19
6 Ac 0.5000 0.5000 0.0000  4 Ru 3.22
7 Ac 0.5285 0.7077 0.5000  3 Ru 3.05-3.19
8 Ac 0.7077 0.2077 0.1792  3 Ru 3.05-3.19
9 Ac 0.7923 0.9715 0.5000  3 Ru 3.05-3.19
10 Ac 0.9715 0.4715 0.1792  3 Ru 3.05-3.19
11 Sn 0.2500 0.2500 0.0000  10 Ac 3.59-3.69
12 Sn 0.7500 0.7500 0.0000  10 Ac 3.59-3.69
13 Ru 0.1416 0.3584 0.5000  8 Ac 3.05-3.22, 1 Ru 3.35
14 Ru 0.3584 0.8584 0.2168  8 Ac 3.05-3.22, 1 Ru 3.35
15 Ru 0.6416 0.1416 0.7832  8 Ac 3.05-3.22, 1 Ru 3.35
16 Ru 0.8584 0.6416 0.5000  8 Ac 3.05-3.22, 1 Ru 3.35


Entry 3:
VASP calculation (GGA-PBE) on crystalline Ac3Sn4Ru2 at its relaxed geometry.

Calculated values
* E_form: -0.5210 eV/atom
* energy above the most stable polymorph in this dataset: 0.0 meV/atom
* magnetic moment: 0.000 μB per cell
* crystal system: monoclinic

Lattice parameters (Å, degrees): 6.4281 6.4281 9.0547 103.51 103.51 44.37
Last column: nearest neighbours and their distance in Å.
Sites, in units of the cell vectors:
1 Ac 0.0000 0.0000 0.0000  8 Sn 3.43-3.73
2 Ac 0.3818 0.3818 0.3087  3 Ru 3.18-3.47, 7 Sn 3.46-3.56
3 Ac 0.6182 0.6182 0.6913  3 Ru 3.18-3.47, 7 Sn 3.46-3.56
4 Sn 0.1051 0.1051 0.3998  3 Ru 2.67-2.72
5 Sn 0.2898 0.2898 0.9115  1 Ru 2.68
6 Sn 0.7102 0.7102 0.0885  1 Ru 2.68
7 Sn 0.8949 0.8949 0.6002  3 Ru 2.67-2.72
8 Ru 0.3068 0.3068 0.6218  4 Sn 2.67-2.72
9 Ru 0.6932 0.6932 0.3782  4 Sn 2.67-2.72


Entry 4:
VASP calculation (GGA-PBE) on crystalline AcSnRu at its relaxed geometry.

Calculated values
* E_form: -0.2921 eV/atom
* energy above the most stable polymorph in this dataset: 177.1 meV/atom
* magnetic moment: 0.000 μB per cell
* crystal system: trigonal

Lattice parameters (Å, degrees): 4.6018 4.6018 4.4699 90.00 90.00 120.00
Last column: nearest neighbours and their distance in Å.
Sites, in units of the cell vectors:
1 Ac 0.0000 0.0000 0.0000  6 Ru 3.47-3.48, 6 Sn 3.47
2 Sn 0.6667 0.3333 0.4998  3 Ru 2.66
3 Ru 0.3333 0.6667 0.4986  3 Sn 2.66


| no. | DFT total energy (eV per cell) |
| --- | --- |
| 1 | -52.6 |
| 2 | -91.7 |
| 3 | -51.6 |
| 4 | -18.3 |